## FeNClF2 (GGA+U)

Data for crystalline FeNClF2 at its relaxed geometry.

The calculation puts the energy above the most stable polymorph in this dataset at 841 meV per atom. As for the symmetry: No. 123. As for the density of states at the Fermi level: 0.28 states/eV per atom.

Cell lengths 4.815, 4.815, 3.303 Å; angles 90.00, 90.00, 90.00 degrees
Fractional positions:
1 Fe 0.000 0.000 0.000
2 N 0.500 0.500 0.000
3 Cl 0.500 0.500 0.500
4 F 0.000 0.500 0.500
5 F 0.500 0.000 0.500